1.
Material: NdHoCdGe
Method: DFT, PBE
State: optimized geometry

Properties
**Density of states at the Fermi level**: 3.2 states/eV/cell
**Mass density**: 8.2 g/cm3
**Calculated formation energy**: -0.4689 eV/atom
**SG**: No. 216

Cell: 5.2187 5.2187 5.2187 Å, 60.00 60.00 60.00°
Element x y z (fractional)
Cd (0.7500, 0.7500, 0.7500)
Ho (0.5000, 0.5000, 0.5000)
Ge (0.2500, 0.2500, 0.2500)
Nd (0.0000, 0.0000, 0.0000)

***

2.
Material: Ho2CdGeO6
Method: DFT, PBE
State: optimized geometry

Properties
**Density of states at the Fermi level**: 0.0 states/eV/cell
**Mass density**: 7.1 g/cm3
**SG**: No. 99
**Final energy**: -6.7608 eV/atom

Cell: 5.1371 5.2609 5.2609 Å, 90.00 90.00 90.00°
Element x y z (fractional)
O (0.1217, 0.5000, 0.5000)
O (0.7419, 0.7668, 0.7668)
O (0.7419, 0.2332, 0.2332)
O (0.2549, 0.0000, 0.0000)
O (0.7419, 0.2332, 0.7668)
O (0.7419, 0.7668, 0.2332)
Ho (0.9837, 0.0000, 0.5000)
Ho (0.9837, 0.5000, 0.0000)
Ge (0.6048, 0.0000, 0.0000)
Cd (0.5304, 0.5000, 0.5000)

***

3.
Material: HoCdGe2Pd5
Method: DFT, PBE
State: optimized geometry

Properties
**Density of states at the Fermi level**: 4.6 states/eV/cell
**Mass density**: 9.9 g/cm3
**Calculated formation energy**: -0.5702 eV/atom
**SG**: No. 123

Cell: 4.2276 4.2276 8.9862 Å, 90.00 90.00 90.00°
Element x y z (fractional)
Pd (0.5000, 0.5000, 0.5000)
Pd (0.0000, 0.5000, 0.2731)
Pd (0.5000, 0.0000, 0.7269)
Pd (0.5000, 0.0000, 0.2731)
Pd (0.0000, 0.5000, 0.7269)
Cd (0.0000, 0.0000, 0.0000)
Ge (0.5000, 0.5000, 0.1337)
Ge (0.5000, 0.5000, 0.8663)
Ho (0.0000, 0.0000, 0.5000)

***

4.
Material: HoCdGePd
Method: DFT, PBE
State: optimized geometry

Properties
**Density of states at the Fermi level**: 2.4 states/eV/cell
**Mass density**: 9.5 g/cm3
**Calculated formation energy**: -0.5244 eV/atom
**SG**: No. 216

Cell: 4.8366 4.8366 4.8366 Å, 60.00 60.00 60.00°
Element x y z (fractional)
Ho (0.5000, 0.5000, 0.5000)
Ge (0.2500, 0.2500, 0.2500)
Pd (0.7500, 0.7500, 0.7500)
Cd (0.0000, 0.0000, 0.0000)

***

5.
Material: PmHoCdGe
Method: DFT, PBE
State: optimized geometry

Properties
**Density of states at the Fermi level**: 3.2 states/eV/cell
**Mass density**: 8.3 g/cm3
**Calculated formation energy**: -0.4726 eV/atom
**SG**: No. 216

Cell: 5.1972 5.1972 5.1972 Å, 60.00 60.00 60.00°
Element x y z (fractional)
Ge (0.2500, 0.2500, 0.2500)
Pm (0.5000, 0.5000, 0.5000)
Cd (0.7500, 0.7500, 0.7500)
Ho (0.0000, 0.0000, 0.0000)

***

6.
Material: PrHoCdGe
Method: DFT, PBE
State: optimized geometry

Properties
**Density of states at the Fermi level**: 3.2 states/eV/cell
**Mass density**: 8.0 g/cm3
**Calculated formation energy**: -0.4650 eV/atom
**SG**: No. 216

Cell: 5.2383 5.2383 5.2383 Å, 60.00 60.00 60.00°
Element x y z (fractional)
Ge (0.2500, 0.2500, 0.2500)
Cd (0.7500, 0.7500, 0.7500)
Pr (0.0000, 0.0000, 0.0000)
Ho (0.5000, 0.5000, 0.5000)

***

7.
Material: Ho2CdGe3Pt4
Method: DFT, PBE
State: optimized geometry

Properties
**Density of states at the Fermi level**: 4.9 states/eV/cell
**Mass density**: 12.4 g/cm3
**Calculated formation energy**: -0.7975 eV/atom
**SG**: No. 115

Cell: 4.1591 4.1591 11.1396 Å, 90.00 90.00 90.00°
Element x y z (fractional)
Pt (0.0000, 0.0000, 0.0000)
Pt (0.5000, 0.5000, 0.0000)
Pt (0.5000, 0.0000, 0.6568)
Pt (0.0000, 0.5000, 0.3432)
Ge (0.0000, 0.0000, 0.5000)
Ge (0.0000, 0.5000, 0.1294)
Ge (0.5000, 0.0000, 0.8706)
Ho (0.0000, 0.5000, 0.7566)
Ho (0.5000, 0.0000, 0.2434)
Cd (0.5000, 0.5000, 0.5000)

***

8.
Material: HoCdGePt
Method: DFT, PBE
State: optimized geometry

Properties
**Density of states at the Fermi level**: 4.0 states/eV/cell
**Mass density**: 11.3 g/cm3
**Calculated formation energy**: -0.5720 eV/atom
**SG**: No. 216

Cell: 4.8409 4.8409 4.8409 Å, 60.00 60.00 60.00°
Element x y z (fractional)
Ge (0.2500, 0.2500, 0.2500)
Pt (0.7500, 0.7500, 0.7500)
Ho (0.0000, 0.0000, 0.0000)
Cd (0.5000, 0.5000, 0.5000)

***

9.
Material: SmHoCdGe
Method: DFT, PBE
State: optimized geometry

Properties
**Density of states at the Fermi level**: 3.2 states/eV/cell
**Mass density**: 8.4 g/cm3
**Calculated formation energy**: -0.4711 eV/atom
**SG**: No. 216

Cell: 5.1857 5.1857 5.1857 Å, 60.00 60.00 60.00°
Element x y z (fractional)
Ho (0.2500, 0.2500, 0.2500)
Sm (0.7500, 0.7500, 0.7500)
Cd (0.0000, 0.0000, 0.0000)
Ge (0.5000, 0.5000, 0.5000)

***

10.
Material: SrHoCdGe
Method: DFT, PBE
State: optimized geometry

Properties
**Density of states at the Fermi level**: 3.1 states/eV/cell
**Mass density**: 6.8 g/cm3
**Calculated formation energy**: -0.3642 eV/atom
**SG**: No. 216

Cell: 5.3348 5.3348 5.3348 Å, 60.00 60.00 60.00°
Element x y z (fractional)
Ho (0.7500, 0.7500, 0.7500)
Ge (0.5000, 0.5000, 0.5000)
Sr (0.2500, 0.2500, 0.2500)
Cd (0.0000, 0.0000, 0.0000)

***

11.
Material: YHoCdGe
Method: DFT, PBE
State: optimized geometry

Properties
**Density of states at the Fermi level**: 3.1 states/eV/cell
**Mass density**: 7.6 g/cm3
**Calculated formation energy**: -0.4764 eV/atom
**SG**: No. 216

Cell: 5.1391 5.1391 5.1391 Å, 60.00 60.00 60.00°
Element x y z (fractional)
Cd (0.0000, 0.0000, 0.0000)
Ho (0.7500, 0.7500, 0.7500)
Ge (0.5000, 0.5000, 0.5000)
Y (0.2500, 0.2500, 0.2500)

***

12.
Material: CdGe2I8
Method: DFT, PBE
State: optimized geometry

Properties
**Mass density**: 3.7 g/cm3
**SG**: No. 12
**Final energy**: -2.3383 eV/atom

Cell: 7.1083 9.1242 9.1242 Å, 79.81 82.23 82.23°
Element x y z (fractional)
I (0.3072, 0.8110, 0.8110)
I (0.1166, 0.3982, 0.3982)
I (0.7870, 0.7280, 0.0797)
I (0.7870, 0.0797, 0.7280)
I (0.2130, 0.2720, 0.9203)
I (0.8834, 0.6018, 0.6018)
I (0.6928, 0.1890, 0.1890)
I (0.2130, 0.9203, 0.2720)
Ge (0.3062, 0.2074, 0.2074)
Ge (0.6938, 0.7926, 0.7926)
Cd (0.0000, 0.0000, 0.0000)

***

13.
Material: CdGe2I
Method: DFT, PBE
State: optimized geometry

Properties
**Density of states at the Fermi level**: 6.4 states/eV/cell
**Energy above the lowest structure with this stoichiometry**: 0.00 eV per formula unit
**Mass density**: 4.7 g/cm3
**SG**: No. 122

Cell: 6.2447 6.2447 8.2950 Å, 67.89 67.89 90.00°
Element x y z (fractional)
Cd (0.2500, 0.7500, 0.5000)
Cd (0.5000, 0.5000, 0.0000)
Ge (0.5785, 0.1250, 0.2500)
Ge (0.8750, 0.8285, 0.7500)
Ge (0.3750, 0.4215, 0.7500)
Ge (0.1715, 0.6250, 0.2500)
I (0.0000, 0.0000, 0.0000)
I (0.7500, 0.2500, 0.5000)

***

14.
Material: CdGeI4
Method: DFT, PBE
State: optimized geometry

Properties
**Density of states at the Fermi level**: 0.0 states/eV/cell
**Mass density**: 4.8 g/cm3
**SG**: No. 10
**Final energy**: -2.3978 eV/atom

Cell: 4.3064 7.4744 7.4618 Å, 90.21 90.00 90.00°
Element x y z (fractional)
I (0.0000, 0.7664, 0.6649)
I (0.0000, 0.2336, 0.3351)
I (0.5000, 0.7678, 0.1649)
I (0.5000, 0.2322, 0.8351)
Cd (0.0000, 0.0000, 0.0000)
Ge (0.5000, 0.0000, 0.5000)

***

15.
Material: CdGeI3
Method: DFT, PBE
State: optimized geometry

Properties
**Density of states at the Fermi level**: 6.2 states/eV/cell
**Energy above the lowest structure with this stoichiometry**: 1.22 eV per formula unit
**Mass density**: 4.8 g/cm3
**SG**: No. 221

Cell: 5.7862 5.7862 5.7862 Å, 90.00 90.00 90.00°
Element x y z (fractional)
I (0.0000, 0.0000, 0.5000)
I (0.5000, 0.0000, 0.0000)
I (0.0000, 0.5000, 0.0000)
Ge (0.0000, 0.0000, 0.0000)
Cd (0.5000, 0.5000, 0.5000)

***

16.
Material: CdGeI3
Method: DFT, PBE
State: optimized geometry

Properties
**Density of states at the Fermi level**: 3.2 states/eV/cell
**Energy above the lowest structure with this stoichiometry**: 0.00 eV per formula unit
**Mass density**: 4.3 g/cm3
**SG**: No. 36

Cell: 13.9405 6.0009 8.7247 Å, 90.00 143.03 90.00°
Element x y z (fractional)
Cd (0.6593, 0.3080, 0.3186)
Cd (0.3407, 0.8080, 0.6814)
Ge (0.0151, 0.3222, 0.0302)
Ge (0.9849, 0.8222, 0.9698)
I (0.3140, 0.8080, 0.3195)
I (0.6168, 0.8079, 0.2337)
I (0.9944, 0.3080, 0.6805)
I (0.6860, 0.3080, 0.6805)
I (0.0056, 0.8080, 0.3195)
I (0.3832, 0.3079, 0.7663)

***

17.
Material: Cd3GeI8
Method: DFT, PBE
State: optimized geometry

Properties
**Density of states at the Fermi level**: 0.0 states/eV/cell
**Mass density**: 4.9 g/cm3
**SG**: No. 12
**Final energy**: -2.1514 eV/atom

Cell: 8.6330 8.6367 8.9108 Å, 118.41 90.00 119.99°
Element x y z (fractional)
Ge (0.0000, 0.0000, 0.0000)
I (0.2431, 0.9859, 0.2333)
I (0.7569, 0.0141, 0.7667)
I (0.7427, 0.9859, 0.2333)
I (0.7570, 0.5139, 0.7669)
I (0.2579, 0.5159, 0.7694)
I (0.2573, 0.0141, 0.7667)
I (0.2430, 0.4861, 0.2331)
I (0.7421, 0.4841, 0.2306)
Cd (0.5000, 0.0000, 0.0000)
Cd (0.0000, 0.5000, 0.0000)
Cd (0.5000, 0.5000, 0.0000)

***

18.
Material: Cd2GeI
Method: DFT, PBE
State: optimized geometry

Properties
**Density of states at the Fermi level**: 4.2 states/eV/cell
**Energy above the lowest structure with this stoichiometry**: 0.00 eV per formula unit
**Mass density**: 4.9 g/cm3
**SG**: No. 122

Cell: 6.7226 6.7226 7.9565 Å, 65.01 65.01 90.00°
Last column: magnetic moment on the atom in μB.
Element x y z (fractional)
I (0.7500, 0.2500, 0.5000)  0.03
I (0.0000, 0.0000, 0.0000)  0.04
Ge (0.2500, 0.7500, 0.5000)  0.31
Ge (0.5000, 0.5000, 0.0000)  0.31
Cd (0.5639, 0.1250, 0.2500)  0.05
Cd (0.3750, 0.4361, 0.7500)  0.06
Cd (0.8750, 0.8139, 0.7500)  0.04
Cd (0.1861, 0.6250, 0.2500)  0.06

***

19.
Material: Cd2GeI
Method: DFT, PBE
State: optimized geometry

Properties
**Density of states at the Fermi level**: 3.9 states/eV/cell
**Energy above the lowest structure with this stoichiometry**: 1.49 eV per formula unit
**Mass density**: 6.6 g/cm3
**SG**: No. 225

Cell: 5.3241 5.3241 5.3241 Å, 60.00 60.00 60.00°
Element x y z (fractional)
Cd (0.2500, 0.2500, 0.2500)
Cd (0.7500, 0.7500, 0.7500)
I (0.5000, 0.5000, 0.5000)
Ge (0.0000, 0.0000, 0.0000)

***

20.
Material: Cd2GeI6
Method: DFT, PBE
State: optimized geometry

Properties
**Density of states at the Fermi level**: 0.0 states/eV/cell
**Mass density**: 4.9 g/cm3
**SG**: No. 162
**Final energy**: -2.2339 eV/atom

Cell: 7.4458 7.4739 7.4739 Å, 120.00 90.00 90.00°
Element x y z (fractional)
I (0.7328, 0.0000, 0.3337)
I (0.2672, 0.0000, 0.6663)
I (0.7328, 0.6663, 0.6663)
I (0.2672, 0.3337, 0.3337)
I (0.2672, 0.6663, 0.0000)
I (0.7328, 0.3337, 0.0000)
Cd (0.5000, 0.3333, 0.6667)
Cd (0.5000, 0.6667, 0.3333)
Ge (0.5000, 0.0000, 0.0000)